The following is a DFT calculation (GGA-PBE) of Rb2NaLi after structural relaxation.

Values from the calculation:
Energy above the most stable polymorph in this dataset in meV per atom: 66
E_form in eV/atom: 0.19
Magnetization in μB per cell: 0.00

a = 10.755 Å, b = 10.755 Å, c = 8.606 Å
α = 51.33°, β = 51.33°, γ = 90.00°
Atoms (fractional coordinates):
Na 0.000 0.000 0.000
Na 0.750 0.250 0.500
Rb 0.609 0.125 0.250
Rb 0.141 0.625 0.250
Rb 0.375 0.391 0.750
Rb 0.875 0.859 0.750
Li 0.500 0.500 0.000
Li 0.250 0.750 0.500

The following is a DFT calculation (GGA-PBE) of RbNaLi4 after structural relaxation.

Values from the calculation:
E_form in eV/atom: 0.10
Magnetization in μB per cell: 0.00

a = 6.478 Å, b = 6.478 Å, c = 6.478 Å
α = 60.00°, β = 60.00°, γ = 60.00°
Atoms (fractional coordinates):
Na 0.000 0.000 0.000
Rb 0.250 0.250 0.250
Li 0.627 0.627 0.119
Li 0.627 0.119 0.627
Li 0.627 0.627 0.627
Li 0.119 0.627 0.627

The following is a DFT calculation (GGA-PBE) of RbNa10Li3 after structural relaxation.

Values from the calculation:
E_form in eV/atom: 0.10
Magnetization in μB per cell: 0.00

a = 11.547 Å, b = 11.547 Å, c = 11.547 Å
α = 60.00°, β = 60.00°, γ = 60.00°
Atoms (fractional coordinates):
Rb 0.250 0.250 0.250
Rb 0.750 0.750 0.750
Na 0.000 0.000 0.340
Na 0.000 0.340 0.000
Na 0.340 0.000 0.000
Na 0.660 0.340 0.000
Na 0.385 0.385 0.385
Na 0.155 0.615 0.615
Na 0.385 0.845 0.385
Na 0.660 0.000 0.340
Na 0.385 0.385 0.845
Na 0.845 0.385 0.385
Na 0.615 0.615 0.155
Na 0.000 0.000 0.660
Na 0.340 0.660 0.000
Na 0.000 0.660 0.340
Na 0.000 0.340 0.660
Na 0.660 0.000 0.000
Na 0.615 0.615 0.615
Na 0.000 0.660 0.000
Na 0.615 0.155 0.615
Na 0.340 0.000 0.660
Li 0.729 0.729 0.271
Li 0.729 0.271 0.729
Li 0.271 0.729 0.729
Li 0.271 0.271 0.729
Li 0.729 0.271 0.271
Li 0.271 0.729 0.271

The following is a DFT calculation (GGA-PBE) of RbNa2Li after structural relaxation.

Values from the calculation:
Energy above the most stable polymorph in this dataset in meV per atom: 37
E_form in eV/atom: 0.12
Magnetization in μB per cell: 0.00

a = 6.277 Å, b = 6.277 Å, c = 6.277 Å
α = 60.00°, β = 60.00°, γ = 60.00°
Atoms (fractional coordinates):
Na 0.250 0.250 0.250
Na 0.750 0.750 0.750
Rb 0.500 0.500 0.500
Li 0.000 0.000 0.000

Look up the E_form of the fourth one.
0.12 eV/atom